No. 1
HoTlTe3Pb: relaxed, PBE-GGA.

a b c (Å): 8.1670 8.1670 12.6571
angles (deg): 90.00 90.00 148.87
Closest atoms and distances in Å follow each position.
Atoms (fractional coordinates):
Ho 0.0000 0.0000 0.0000  6 Te 3.06-3.18
Ho 0.0000 0.0000 0.5000  6 Te 3.06-3.18
Pb 0.3817 0.6183 0.2500  4 Te 3.08-3.15
Pb 0.6183 0.3817 0.7500  4 Te 3.08-3.15
Te 0.3644 0.6356 0.0017  2 Ho 3.06, 1 Pb 3.15, 1 Tl 3.30
Te 0.0194 0.9806 0.2500  2 Pb 3.08, 2 Ho 3.18
Te 0.3644 0.6356 0.4983  2 Ho 3.06, 1 Pb 3.15, 1 Tl 3.30
Te 0.6356 0.3644 0.5017  2 Ho 3.06, 1 Pb 3.15, 1 Tl 3.30
Te 0.9806 0.0194 0.7500  2 Pb 3.08, 2 Ho 3.18
Te 0.6356 0.3644 0.9983  2 Ho 3.06, 1 Pb 3.15, 1 Tl 3.30
Tl 0.6906 0.3094 0.2500  4 Te 3.30-3.47
Tl 0.3094 0.6906 0.7500  4 Te 3.30-3.47

Properties
Total magnetization ... 0.001 μB/atom
Crystal system ... orthorhombic
Calculated total energy ... -48.18 eV for the cell shown



No. 2
HoTmTe3Pb: relaxed, PBE-GGA.

a b c (Å): 7.9346 7.9346 11.8376
angles (deg): 90.00 90.00 148.31
Closest atoms and distances in Å follow each position.
Atoms (fractional coordinates):
Ho 0.5000 0.5000 0.0000  6 Te 3.10-3.21
Ho 0.5000 0.5000 0.5000  6 Te 3.10-3.21
Pb 0.2813 0.7187 0.2500  2 Tm 3.36, 6 Te 3.57-3.75
Pb 0.7187 0.2813 0.7500  2 Tm 3.36, 6 Te 3.57-3.75
Te 0.8572 0.1428 0.0309  1 Tm 2.95, 2 Ho 3.10
Te 0.5810 0.4190 0.2500  2 Tm 2.96, 2 Ho 3.21
Te 0.8572 0.1428 0.4691  1 Tm 2.95, 2 Ho 3.10
Te 0.1428 0.8572 0.5309  1 Tm 2.95, 2 Ho 3.10
Te 0.4190 0.5810 0.7500  2 Tm 2.96, 2 Ho 3.21
Te 0.1428 0.8572 0.9691  1 Tm 2.95, 2 Ho 3.10
Tm 0.9492 0.0508 0.2500  4 Te 2.95-2.96
Tm 0.0508 0.9492 0.7500  4 Te 2.95-2.96

Properties
Total magnetization ... 0.001 μB/atom
Crystal system ... orthorhombic
Calculated total energy ... -54.63 eV for the cell shown



No. 3
HoTmTe3Pb: relaxed, PBE-GGA.

a b c (Å): 7.9387 7.9387 11.8078
angles (deg): 90.00 90.00 148.41
Closest atoms and distances in Å follow each position.
Atoms (fractional coordinates):
Ho 0.5540 0.4460 0.2500  4 Te 2.97-2.98
Ho 0.4460 0.5540 0.7500  4 Te 2.97-2.98
Pb 0.2230 0.7770 0.2500  2 Ho 3.37, 6 Te 3.64-3.70
Pb 0.7770 0.2230 0.7500  2 Ho 3.37, 6 Te 3.64-3.70
Te 0.6421 0.3579 0.0256  1 Ho 2.97, 2 Tm 3.08
Te 0.9199 0.0801 0.2500  2 Ho 2.98, 2 Tm 3.20
Te 0.6421 0.3579 0.4744  1 Ho 2.97, 2 Tm 3.08
Te 0.3579 0.6421 0.5256  1 Ho 2.97, 2 Tm 3.08
Te 0.0801 0.9199 0.7500  2 Ho 2.98, 2 Tm 3.20
Te 0.3579 0.6421 0.9744  1 Ho 2.97, 2 Tm 3.08
Tm 0.0000 0.0000 0.0000  6 Te 3.08-3.20
Tm 0.0000 0.0000 0.5000  6 Te 3.08-3.20

Properties
Total magnetization ... 0.002 μB/atom
Crystal system ... orthorhombic
Calculated total energy ... -54.49 eV for the cell shown



No. 4
YHoTe3Pb: relaxed, PBE-GGA.

a b c (Å): 7.9492 7.9492 11.9351
angles (deg): 90.00 90.00 148.18
Closest atoms and distances in Å follow each position.
Atoms (fractional coordinates):
Ho 0.4508 0.5492 0.2500  4 Te 2.97-2.98
Ho 0.5492 0.4508 0.7500  4 Te 2.97-2.98
Pb 0.7817 0.2183 0.2500  2 Ho 3.38, 6 Te 3.59-3.74
Pb 0.2183 0.7817 0.7500  2 Ho 3.38, 6 Te 3.59-3.74
Te 0.3567 0.6433 0.0316  1 Ho 2.98, 2 Y 3.11
Te 0.0826 0.9174 0.2500  2 Ho 2.97, 2 Y 3.24
Te 0.3567 0.6433 0.4684  1 Ho 2.98, 2 Y 3.11
Te 0.6433 0.3567 0.5316  1 Ho 2.98, 2 Y 3.11
Te 0.9174 0.0826 0.7500  2 Ho 2.97, 2 Y 3.24
Te 0.6433 0.3567 0.9684  1 Ho 2.98, 2 Y 3.11
Y 0.0000 0.0000 0.0000  6 Te 3.11-3.24
Y 0.0000 0.0000 0.5000  6 Te 3.11-3.24

Properties
Total magnetization ... 0.003 μB/atom
Crystal system ... orthorhombic
Calculated total energy ... -58.85 eV for the cell shown



No. 5
YHoTe3Pb: relaxed, PBE-GGA.

a b c (Å): 7.9490 7.9490 11.8535
angles (deg): 90.00 90.00 148.15
Closest atoms and distances in Å follow each position.
Atoms (fractional coordinates):
Ho 0.5000 0.5000 0.0000  6 Te 3.10-3.21
Ho 0.5000 0.5000 0.5000  6 Te 3.10-3.21
Pb 0.2777 0.7223 0.2500  2 Y 3.39, 6 Te 3.63-3.71
Pb 0.7223 0.2777 0.7500  2 Y 3.39, 6 Te 3.63-3.71
Te 0.8571 0.1429 0.0275  1 Y 2.98, 2 Ho 3.10
Te 0.5816 0.4184 0.2500  2 Y 2.99, 2 Ho 3.21
Te 0.8571 0.1429 0.4725  1 Y 2.98, 2 Ho 3.10
Te 0.1429 0.8571 0.5275  1 Y 2.98, 2 Ho 3.10
Te 0.4184 0.5816 0.7500  2 Y 2.99, 2 Ho 3.21
Te 0.1429 0.8571 0.9725  1 Y 2.98, 2 Ho 3.10
Y 0.9478 0.0522 0.2500  4 Te 2.98-2.99
Y 0.0522 0.9478 0.7500  4 Te 2.98-2.99

Properties
Total magnetization ... 0.003 μB/atom
Crystal system ... orthorhombic
Calculated total energy ... -58.77 eV for the cell shown



No. 6
HoZnTe3Pb: relaxed, PBE-GGA.

a b c (Å): 7.6906 7.6906 11.2355
angles (deg): 90.00 90.00 147.17
Closest atoms and distances in Å follow each position.
Atoms (fractional coordinates):
Ho 0.5000 0.5000 0.0000  6 Te 3.08-3.10
Ho 0.5000 0.5000 0.5000  6 Te 3.08-3.10
Pb 0.2839 0.7161 0.2500  6 Te 3.29-3.61, 2 Zn 3.52
Pb 0.7161 0.2839 0.7500  6 Te 3.29-3.61, 2 Zn 3.52
Te 0.8575 0.1425 0.0532  1 Zn 2.78, 2 Ho 3.08
Te 0.5889 0.4111 0.2500  2 Zn 2.78, 2 Ho 3.10
Te 0.8575 0.1425 0.4468  1 Zn 2.78, 2 Ho 3.08
Te 0.1425 0.8575 0.5532  1 Zn 2.78, 2 Ho 3.08
Te 0.4111 0.5889 0.7500  2 Zn 2.78, 2 Ho 3.10
Te 0.1425 0.8575 0.9468  1 Zn 2.78, 2 Ho 3.08
Zn 0.9719 0.0281 0.2500  4 Te 2.78
Zn 0.0281 0.9719 0.7500  4 Te 2.78

Properties
Total magnetization ... 0.001 μB/atom
Crystal system ... orthorhombic
Calculated total energy ... -45.97 eV for the cell shown



No. 7
HoThPb: relaxed, PBE-GGA.

a b c (Å): 5.2490 5.2490 5.2490
angles (deg): 60.00 60.00 60.00
Closest atoms and distances in Å follow each position.
Atoms (fractional coordinates):
Ho 0.0000 0.0000 0.0000  4 Pb 3.21
Pb 0.7500 0.7500 0.7500  4 Th 3.21, 4 Ho 3.21
Th 0.5000 0.5000 0.5000  4 Pb 3.21

Properties
Total magnetization ... 0.004 μB/atom
Crystal system ... cubic
Calculated total energy ... -15.58 eV for the cell shown



No. 8
HoTlPb: relaxed, PBE-GGA.

a b c (Å): 5.1398 5.1398 5.1398
angles (deg): 60.00 60.00 60.00
Closest atoms and distances in Å follow each position.
Atoms (fractional coordinates):
Ho 0.2500 0.2500 0.2500  4 Tl 3.15
Pb 0.7500 0.7500 0.7500  4 Tl 3.15
Tl 0.0000 0.0000 0.0000  4 Pb 3.15, 4 Ho 3.15

Properties
Total magnetization ... 0.003 μB/atom
Crystal system ... cubic
Calculated total energy ... -10.54 eV for the cell shown



No. 9
HoTmPb4: relaxed, PBE-GGA.

a b c (Å): 4.5034 8.5272 8.5272
angles (deg): 30.86 90.00 90.00
Closest atoms and distances in Å follow each position.
Atoms (fractional coordinates):
Ho 0.5000 0.4060 0.4060  10 Pb 3.22-3.52
Pb 0.5000 0.0700 0.0700  2 Pb 3.21, 4 Tm 3.22, 2 Ho 3.52
Pb 0.0000 0.2487 0.2487  4 Pb 3.20, 2 Tm 3.41, 2 Ho 3.43
Pb 0.5000 0.7504 0.7504  4 Pb 3.20, 2 Tm 3.42, 2 Ho 3.42
Pb 0.0000 0.9307 0.9307  2 Pb 3.21, 4 Ho 3.22, 2 Tm 3.52
Tm 0.0000 0.5941 0.5941  10 Pb 3.22-3.52

Properties
Total magnetization ... 0.001 μB/atom
Crystal system ... orthorhombic
Calculated total energy ... -25.84 eV for the cell shown



No. 10
HoUPb: relaxed, PBE-GGA.

a b c (Å): 5.2149 5.2149 5.2149
angles (deg): 60.00 60.00 60.00
Closest atoms and distances in Å follow each position.
Atoms (fractional coordinates):
Ho 0.0000 0.0000 0.0000  4 Pb 3.19
Pb 0.7500 0.7500 0.7500  4 U 3.19, 4 Ho 3.19
U 0.5000 0.5000 0.5000  4 Pb 3.19

Properties
Total magnetization ... 1.439 μB/atom
Crystal system ... cubic
Calculated total energy ... -17.96 eV for the cell shown



No. 11
HoPbW: relaxed, PBE-GGA.

a b c (Å): 4.9459 4.9459 4.9459
angles (deg): 60.00 60.00 60.00
Closest atoms and distances in Å follow each position.
Atoms (fractional coordinates):
Ho 0.0000 0.0000 0.0000  4 W 3.03, 4 Pb 3.03
Pb 0.7500 0.7500 0.7500  4 Ho 3.03
W 0.2500 0.2500 0.2500  4 Ho 3.03

Properties
Total magnetization ... 0.939 μB/atom
Crystal system ... cubic
Calculated total energy ... -17.19 eV for the cell shown



No. 12
HoPbW: relaxed, PBE-GGA.

a b c (Å): 4.8379 4.8379 4.8379
angles (deg): 60.00 60.00 60.00
Closest atoms and distances in Å follow each position.
Atoms (fractional coordinates):
Ho 0.2500 0.2500 0.2500  4 W 2.96
Pb 0.7500 0.7500 0.7500  4 W 2.96
W 0.0000 0.0000 0.0000  4 Ho 2.96, 4 Pb 2.96

Properties
Total magnetization ... 0.465 μB/atom
Crystal system ... cubic
Calculated total energy ... -18.44 eV for the cell shown



No. 13
YHo2Pb3: relaxed, PBE-GGA.

a b c (Å): 4.4506 4.4506 8.7392
angles (deg): 90.00 90.00 90.00
Closest atoms and distances in Å follow each position.
Atoms (fractional coordinates):
Ho 0.5000 0.0000 0.3378  5 Pb 3.17
Ho 0.0000 0.5000 0.6622  5 Pb 3.17
Pb 0.5000 0.5000 0.0000  4 Y 3.15, 4 Pb 3.43
Pb 0.0000 0.5000 0.2993  5 Ho 3.17, 2 Pb 3.43, 2 Y 3.43
Pb 0.5000 0.0000 0.7007  5 Ho 3.17, 2 Pb 3.43, 2 Y 3.43
Y 0.0000 0.0000 0.0000  8 Pb 3.15-3.43

Properties
Total magnetization ... 0.001 μB/atom
Crystal system ... tetragonal
Calculated total energy ... -29.53 eV for the cell shown



No. 14
Ho3Pd5: relaxed, PBE-GGA.

a b c (Å): 5.7877 5.7877 9.5571
angles (deg): 90.00 90.00 75.64
Closest atoms and distances in Å follow each position.
Atoms (fractional coordinates):
Ho 0.2035 0.2035 0.0000  10 Pd 2.91-3.11
Ho 0.7965 0.7965 0.0000  10 Pd 2.91-3.11
Ho 0.3857 0.6143 0.2500  7 Pd 2.78-2.92
Ho 0.2035 0.2035 0.5000  10 Pd 2.91-3.11
Ho 0.7965 0.7965 0.5000  10 Pd 2.91-3.11
Ho 0.6143 0.3857 0.7500  7 Pd 2.78-2.92
Pd 0.6902 0.3098 0.0445  4 Pd 2.83-2.88, 6 Ho 2.87-3.06
Pd 0.9869 0.0131 0.2500  6 Pd 2.79-3.01, 5 Ho 2.83-3.03
Pd 0.4957 0.0552 0.2500  5 Ho 2.78-3.11, 4 Pd 2.79-3.01
Pd 0.9448 0.5043 0.2500  5 Ho 2.78-3.11, 4 Pd 2.79-3.01
Pd 0.6902 0.3098 0.4555  4 Pd 2.83-2.88, 6 Ho 2.87-3.06
Pd 0.3098 0.6902 0.5445  4 Pd 2.83-2.88, 6 Ho 2.87-3.06
Pd 0.0552 0.4957 0.7500  5 Ho 2.78-3.11, 4 Pd 2.79-3.01
Pd 0.5043 0.9448 0.7500  5 Ho 2.78-3.11, 4 Pd 2.79-3.01
Pd 0.0131 0.9869 0.7500  6 Pd 2.79-3.01, 5 Ho 2.83-3.03
Pd 0.3098 0.6902 0.9555  4 Pd 2.83-2.88, 6 Ho 2.87-3.06

Properties
Total magnetization ... 0.001 μB/atom
Crystal system ... orthorhombic
Formation enthalpy at 0 K ... -0.9546 eV per atom



No. 15
Ho2Pd: relaxed, PBE-GGA.

a b c (Å): 7.4919 7.4919 4.5278
angles (deg): 90.00 90.00 120.00
Closest atoms and distances in Å follow each position.
Atoms (fractional coordinates):
Ho 0.7387 0.0000 0.0000  4 Pd 2.81-2.99
Ho 0.2613 0.2613 0.0000  4 Pd 2.81-2.99
Ho 0.0000 0.7387 0.0000  4 Pd 2.81-2.99
Ho 0.4075 0.0000 0.5000  5 Pd 3.05-3.21, 2 Ho 3.36
Ho 0.0000 0.4075 0.5000  5 Pd 3.05-3.21, 2 Ho 3.36
Ho 0.5925 0.5925 0.5000  5 Pd 3.05-3.21, 2 Ho 3.36
Pd 0.6667 0.3333 0.0000  3 Ho 2.81
Pd 0.3333 0.6667 0.0000  3 Ho 2.81
Pd 0.0000 0.0000 0.5000  9 Ho 2.99-3.05

Properties
Total magnetization ... 0.008 μB/atom
Crystal system ... hexagonal
Formation enthalpy at 0 K ... -0.5744 eV per atom



No. 16
Ho2Pd: relaxed, PBE-GGA.

a b c (Å): 4.8433 4.8433 4.8433
angles (deg): 60.00 60.00 60.00
Closest atoms and distances in Å follow each position.
Atoms (fractional coordinates):
Ho 0.2500 0.2500 0.2500  4 Pd 2.97
Ho 0.7500 0.7500 0.7500  4 Pd 2.97
Pd 0.0000 0.0000 0.0000  8 Ho 2.97

Properties
Total magnetization ... 0.006 μB/atom
Crystal system ... cubic
Formation enthalpy at 0 K ... -0.4968 eV per atom



No. 17
Ho2Pd: relaxed, PBE-GGA.

a b c (Å): 8.5989 8.5989 8.5989
angles (deg): 60.00 60.00 60.00
Closest atoms and distances in Å follow each position.
Atoms (fractional coordinates):
Ho 0.8750 0.3750 0.3750  2 Pd 2.63
Ho 0.3750 0.8750 0.3750  2 Pd 2.63
Ho 0.3750 0.3750 0.3750  2 Pd 2.63
Ho 0.3750 0.3750 0.8750  2 Pd 2.63
Pd 0.2500 0.2500 0.2500  4 Ho 2.63
Pd 0.5000 0.5000 0.5000  4 Ho 2.63

Properties
Total magnetization ... 0.001 μB/atom
Crystal system ... cubic
Formation enthalpy at 0 K ... 0.8579 eV per atom



No. 18
Ho2Pd: relaxed, PBE-GGA.

a b c (Å): 5.9475 5.9475 5.9475
angles (deg): 60.00 60.00 60.00
Closest atoms and distances in Å follow each position.
Atoms (fractional coordinates):
Ho 0.6250 0.6250 0.1250  6 Ho 2.97
Ho 0.6250 0.1250 0.6250  6 Ho 2.97
Ho 0.1250 0.6250 0.6250  6 Ho 2.97
Ho 0.6250 0.6250 0.6250  6 Ho 2.97
Pd 0.0000 0.0000 0.0000  12 Ho 3.49, 4 Pd 3.64
Pd 0.2500 0.2500 0.2500  12 Ho 3.49, 4 Pd 3.64

Properties
Total magnetization ... 0.005 μB/atom
Crystal system ... cubic
Formation enthalpy at 0 K ... 0.3881 eV per atom



No. 19
HoPd3: relaxed, PBE-GGA.

a b c (Å): 4.0985 4.1000 4.1011
angles (deg): 90.00 90.00 90.00
Closest atoms and distances in Å follow each position.
Atoms (fractional coordinates):
Ho 0.5000 0.0000 0.0000  12 Pd 2.90
Pd 0.0000 0.5000 0.0000  4 Ho 2.90, 8 Pd 2.90
Pd 0.0000 0.0000 0.5000  8 Pd 2.90, 4 Ho 2.90
Pd 0.5000 0.5000 0.5000  8 Pd 2.90, 4 Ho 2.90

Properties
Total magnetization ... 0.000 μB/atom
Crystal system ... cubic
Formation enthalpy at 0 K ... -0.9071 eV per atom



No. 20
PrHoPd: relaxed, PBE-GGA.

a b c (Å): 4.9575 4.9575 4.9575
angles (deg): 60.00 60.00 60.00
Closest atoms and distances in Å follow each position.
Atoms (fractional coordinates):
Ho 0.2500 0.2500 0.2500  4 Pd 3.04
Pd 0.0000 0.0000 0.0000  4 Pr 3.04, 4 Ho 3.04
Pr 0.7500 0.7500 0.7500  4 Pd 3.04

Properties
Total magnetization ... 0.002 μB/atom
Crystal system ... cubic
Formation enthalpy at 0 K ... -0.4151 eV per atom